[1]
The following is a DFT calculation (PBE) of crystalline Sr2NbTe4 at its relaxed geometry.

Cell lengths 5.407, 5.407, 16.961 Å; angles 90.00, 90.00, 90.00 degrees
Space group I4/mmm (No. 139)
Asymmetric unit:
Sr 0.000 0.000 0.138 x4
Nb 0.000 0.000 0.500 x2
Te 0.000 0.000 0.329 x4
Te 0.000 0.500 0.000 x4

Results
DFT total energy ... -4.5787 eV/atom
Total magnetization ... 0.88 μB/cell

[2]
The following is a DFT calculation (PBE) of crystalline SrNbTe3 at its relaxed geometry.

Cell lengths 5.512, 5.512, 5.512 Å; angles 90.00, 90.00, 90.00 degrees
Space group Pm-3m (No. 221)
Asymmetric unit:
Sr 0.000 0.000 0.000 x1
Nb 0.500 0.500 0.500 x1
Te 0.000 0.500 0.500 x3

Results
DFT total energy ... -4.7685 eV/atom
Total magnetization ... 0.00 μB/cell